Entry A
RbMg2SnRh: relaxed, PBE-GGA.

Calculated values
V = 139.3 Å³ per cell
magnetization = 0.0 μB per cell

Unit cell a=5.2218 b=5.2218 c=5.1073 alpha=90.00 beta=90.00 gamma=90.00
Positions (direct):
Rb: 0.0000 0.0000 0.0000
Mg: 0.0000 0.5000 0.5000
Mg: 0.5000 0.0000 0.5000
Sn: 0.5000 0.5000 0.0000
Rh: 0.5000 0.5000 0.5000

Entry B
RbMg2SnRh: relaxed, PBE-GGA.

Calculated values
V = 184.4 Å³ per cell
magnetization = 0.0 μB per cell

Unit cell a=5.6095 b=5.6095 c=5.8594 alpha=90.00 beta=90.00 gamma=90.00
Positions (direct):
Rb: 0.0000 0.0000 0.0000
Mg: 0.0000 0.5000 0.0000
Mg: 0.5000 0.0000 0.0000
Sn: 0.0000 0.0000 0.5000
Rh: 0.5000 0.5000 0.5000

Of them, entry A has the highest stability.

Entry A
RbMg3Ru: relaxed, PBE-GGA.

Calculated values
V = 165.2 Å³ per cell
magnetization = 0.0 μB per cell

Unit cell a=5.4869 b=5.4869 c=5.4869 alpha=90.00 beta=90.00 gamma=90.00
Positions (direct):
Rb: 0.0000 0.0000 0.0000
Mg: 0.0000 0.0000 0.5000
Mg: 0.0000 0.5000 0.0000
Mg: 0.5000 0.0000 0.0000
Ru: 0.5000 0.5000 0.5000

Entry B
RbMg3Ru: relaxed, PBE-GGA.

Calculated values
V = 140.2 Å³ per cell
magnetization = 0.0 μB per cell

Unit cell a=5.1948 b=5.1948 c=5.1948 alpha=90.00 beta=90.00 gamma=90.00
Positions (direct):
Rb: 0.0000 0.0000 0.0000
Mg: 0.0000 0.5000 0.5000
Mg: 0.5000 0.0000 0.5000
Mg: 0.5000 0.5000 0.0000
Ru: 0.5000 0.5000 0.5000

Of them, entry B has the highest stability.

Entry A
RbMgSb3: relaxed, PBE-GGA.

Calculated values
V = 217.6 Å³ per cell
magnetization = 0.0 μB per cell

Unit cell a=6.0145 b=6.0145 c=6.0145 alpha=90.00 beta=90.00 gamma=90.00
Positions (direct):
Rb: 0.0000 0.0000 0.0000
Mg: 0.5000 0.5000 0.5000
Sb: 0.0000 0.0000 0.5000
Sb: 0.0000 0.5000 0.0000
Sb: 0.5000 0.0000 0.0000

Entry B
RbMgSb3: relaxed, PBE-GGA.

Calculated values
V = 172.8 Å³ per cell
magnetization = 0.0 μB per cell

Unit cell a=5.5701 b=5.5701 c=5.5701 alpha=90.00 beta=90.00 gamma=90.00
Positions (direct):
Rb: 0.0000 0.0000 0.0000
Mg: 0.5000 0.5000 0.5000
Sb: 0.0000 0.5000 0.5000
Sb: 0.5000 0.0000 0.5000
Sb: 0.5000 0.5000 0.0000

Of them, entry B has the highest stability.

Entry A
RbMg3Sb: relaxed, PBE-GGA.

Calculated values
V = 221.5 Å³ per cell
magnetization = 0.0 μB per cell

Unit cell a=6.0507 b=6.0507 c=6.0507 alpha=90.00 beta=90.00 gamma=90.00
Positions (direct):
Rb: 0.0000 0.0000 0.0000
Mg: 0.0000 0.0000 0.5000
Mg: 0.0000 0.5000 0.0000
Mg: 0.5000 0.0000 0.0000
Sb: 0.5000 0.5000 0.5000

Entry B
RbMg3Sb: relaxed, PBE-GGA.

Calculated values
V = 197.4 Å³ per cell
magnetization = 0.0 μB per cell

Unit cell a=5.8223 b=5.8223 c=5.8223 alpha=90.00 beta=90.00 gamma=90.00
Positions (direct):
Rb: 0.0000 0.0000 0.0000
Mg: 0.0000 0.5000 0.5000
Mg: 0.5000 0.0000 0.5000
Mg: 0.5000 0.5000 0.0000
Sb: 0.5000 0.5000 0.5000

Of them, entry B has the highest stability.

Entry A
RbMgSb2Te: relaxed, PBE-GGA.

Calculated values
V = 177.0 Å³ per cell
magnetization = 0.0 μB per cell

Unit cell a=5.5134 b=5.5134 c=5.8224 alpha=90.00 beta=90.00 gamma=90.00
Positions (direct):
Rb: 0.0000 0.0000 0.0000
Mg: 0.5000 0.5000 0.5000
Sb: 0.0000 0.5000 0.5000
Sb: 0.5000 0.0000 0.5000
Te: 0.5000 0.5000 0.0000

Entry B
RbMgSb2Te: relaxed, PBE-GGA.

Calculated values
V = 224.7 Å³ per cell
magnetization = 0.0 μB per cell

Unit cell a=6.0458 b=6.0458 c=6.1482 alpha=90.00 beta=90.00 gamma=90.00
Positions (direct):
Rb: 0.0000 0.0000 0.0000
Mg: 0.5000 0.5000 0.5000
Sb: 0.0000 0.5000 0.0000
Sb: 0.5000 0.0000 0.0000
Te: 0.0000 0.0000 0.5000

Of them, entry A has the highest stability.

Entry A
RbMg2Sc: relaxed, PBE-GGA.

Calculated values
V = 127.6 Å³ per cell
magnetization = 0.0 μB per cell

Unit cell a=5.6515 b=5.6515 c=5.6515 alpha=60.00 beta=60.00 gamma=60.00
Positions (direct):
Rb: 0.0000 0.0000 0.0000
Mg: 0.2500 0.2500 0.2500
Mg: 0.7500 0.7500 0.7500
Sc: 0.5000 0.5000 0.5000

Entry B
RbMg2Sc: relaxed, PBE-GGA.

Calculated values
V = 286.5 Å³ per cell
magnetization = 0.0 μB per cell

Unit cell a=7.2850 b=7.2850 c=7.2850 alpha=103.53 beta=103.53 gamma=122.14
Positions (direct):
Rb: 0.0000 0.0000 0.0000
Rb: 0.7500 0.2500 0.5000
Mg: 0.1639 0.6250 0.0389
Mg: 0.3750 0.4139 0.5389
Mg: 0.5861 0.1250 0.9611
Mg: 0.8750 0.8361 0.4611
Sc: 0.2500 0.7500 0.5000
Sc: 0.5000 0.5000 0.0000

Of them, entry A has the highest stability.

Entry A
Rb2MgSe: relaxed, PBE-GGA.

Calculated values
V = 154.4 Å³ per cell
magnetization = 0.0 μB per cell

Unit cell a=6.0221 b=6.0221 c=6.0221 alpha=60.00 beta=60.00 gamma=60.00
Positions (direct):
Rb: 0.2500 0.2500 0.2500
Rb: 0.7500 0.7500 0.7500
Mg: 0.0000 0.0000 0.0000
Se: 0.5000 0.5000 0.5000

Entry B
Rb2MgSe: relaxed, PBE-GGA.

Calculated values
V = 405.7 Å³ per cell
magnetization = 0.0 μB per cell

Unit cell a=9.0586 b=9.0586 c=9.0586 alpha=95.16 beta=95.16 gamma=145.10
Positions (direct):
Rb: 0.3750 0.2240 0.3490
Rb: 0.7760 0.1250 0.1510
Rb: 0.8750 0.0260 0.6510
Rb: 0.9740 0.6250 0.8490
Mg: 0.2500 0.7500 0.5000
Mg: 0.5000 0.5000 0.0000
Se: 0.0000 0.0000 0.0000
Se: 0.7500 0.2500 0.5000

Of them, entry B has the highest stability.

Entry A
RbMg3Se: relaxed, PBE-GGA.

Calculated values
V = 329.5 Å³ per cell
magnetization = 1.0 μB per cell

Unit cell a=6.9070 b=6.9070 c=6.9070 alpha=90.00 beta=90.00 gamma=90.00
Positions (direct):
Rb: 0.0000 0.0000 0.0000
Mg: 0.0000 0.0000 0.5000
Mg: 0.0000 0.5000 0.0000
Mg: 0.5000 0.0000 0.0000
Se: 0.5000 0.5000 0.5000

Entry B
RbMg3Se: relaxed, PBE-GGA.

Calculated values
V = 172.6 Å³ per cell
magnetization = 0.0 μB per cell

Unit cell a=5.5678 b=5.5678 c=5.5678 alpha=90.00 beta=90.00 gamma=90.00
Positions (direct):
Rb: 0.0000 0.0000 0.0000
Mg: 0.0000 0.5000 0.5000
Mg: 0.5000 0.0000 0.5000
Mg: 0.5000 0.5000 0.0000
Se: 0.5000 0.5000 0.5000

Of them, entry B has the highest stability.

Entry A
RbMgSe: relaxed, PBE-GGA.

Calculated values
V = 483.4 Å³ per cell
magnetization = 0.0 μB per cell

Unit cell a=8.8256 b=8.8256 c=8.0937 alpha=112.15 beta=112.15 gamma=58.21
Positions (direct):
Rb: 0.0641 0.9359 0.5000
Rb: 0.5682 0.8832 0.4472
Rb: 0.8832 0.5682 0.9472
Rb: 0.9359 0.0641 0.0000
Mg: 0.1438 0.3646 0.4329
Mg: 0.3347 0.4975 0.8587
Mg: 0.3646 0.1438 0.9329
Mg: 0.4975 0.3347 0.3587
Se: 0.0164 0.6690 0.6690
Se: 0.3445 0.5997 0.2014
Se: 0.5997 0.3445 0.7014
Se: 0.6690 0.0164 0.1690

Entry B
RbMgSe: relaxed, PBE-GGA.

Calculated values
V = 252.6 Å³ per cell
magnetization = 0.0 μB per cell

Unit cell a=4.6103 b=4.6103 c=11.8835 alpha=90.00 beta=90.00 gamma=90.00
Positions (direct):
Rb: 0.2500 0.2500 0.1656
Rb: 0.7500 0.7500 0.8344
Mg: 0.2500 0.7500 0.5000
Mg: 0.7500 0.2500 0.5000
Se: 0.2500 0.2500 0.6168
Se: 0.7500 0.7500 0.3832

Of them, entry A has the highest stability.

Entry A
RbMgSe3: relaxed, PBE-GGA.

Calculated values
V = 144.5 Å³ per cell
magnetization = 0.0 μB per cell

Unit cell a=5.2478 b=5.2478 c=5.2478 alpha=90.00 beta=90.00 gamma=90.00
Positions (direct):
Rb: 0.0000 0.0000 0.0000
Mg: 0.5000 0.5000 0.5000
Se: 0.0000 0.5000 0.5000
Se: 0.5000 0.0000 0.5000
Se: 0.5000 0.5000 0.0000

Entry B
RbMgSe3: relaxed, PBE-GGA.

Calculated values
V = 198.4 Å³ per cell
magnetization = 2.1 μB per cell

Unit cell a=5.8329 b=5.8329 c=5.8329 alpha=90.00 beta=90.00 gamma=90.00
Positions (direct):
Rb: 0.0000 0.0000 0.0000
Mg: 0.5000 0.5000 0.5000
Se: 0.0000 0.0000 0.5000
Se: 0.0000 0.5000 0.0000
Se: 0.5000 0.0000 0.0000

Of them, entry A has the highest stability.

Entry A
RbMg3Si: relaxed, PBE-GGA.

Calculated values
V = 157.8 Å³ per cell
magnetization = 0.0 μB per cell

Unit cell a=5.4035 b=5.4035 c=5.4035 alpha=90.00 beta=90.00 gamma=90.00
Positions (direct):
Rb: 0.0000 0.0000 0.0000
Mg: 0.0000 0.5000 0.5000
Mg: 0.5000 0.0000 0.5000
Mg: 0.5000 0.5000 0.0000
Si: 0.5000 0.5000 0.5000

Entry B
RbMg3Si: relaxed, PBE-GGA.

Calculated values
V = 340.2 Å³ per cell
magnetization = 2.9 μB per cell

Unit cell a=6.9811 b=6.9811 c=6.9811 alpha=90.00 beta=90.00 gamma=90.00
Positions (direct):
Rb: 0.0000 0.0000 0.0000
Mg: 0.0000 0.0000 0.5000
Mg: 0.0000 0.5000 0.0000
Mg: 0.5000 0.0000 0.0000
Si: 0.5000 0.5000 0.5000

Of them, entry A has the highest stability.

Entry A
RbMgSi2Tc: relaxed, PBE-GGA.

Calculated values
V = 117.0 Å³ per cell
magnetization = 0.0 μB per cell

Unit cell a=4.7250 b=4.7250 c=5.2416 alpha=90.00 beta=90.00 gamma=90.00
Positions (direct):
Rb: 0.0000 0.0000 0.0000
Mg: 0.5000 0.5000 0.0000
Si: 0.0000 0.5000 0.5000
Si: 0.5000 0.0000 0.5000
Tc: 0.5000 0.5000 0.5000

Entry B
RbMgSi2Tc: relaxed, PBE-GGA.

Calculated values
V = 133.0 Å³ per cell
magnetization = 3.0 μB per cell

Unit cell a=5.0922 b=5.0922 c=5.1285 alpha=90.00 beta=90.00 gamma=90.00
Positions (direct):
Rb: 0.0000 0.0000 0.0000
Mg: 0.5000 0.5000 0.5000
Si: 0.0000 0.5000 0.5000
Si: 0.5000 0.0000 0.5000
Tc: 0.5000 0.5000 0.0000

Of them, entry A has the highest stability.